# 1
{
  "formula": "AsW2Se",
  "functional": "PBE-GGA",
  "state": "relaxed",
  "lattice": [[3.125, 0.000, 0.000], [0.000, 4.596, 0.000], [0.000, 0.000, 4.540]],
  "species": ["As", "W", "W", "Se"],
  "fractional_positions": [[0.000, 0.000, 0.000], [0.000, 0.500, 0.265], [0.500, 0.000, 0.473], [0.500, 0.500, 0.736]],
  "de_polymorph_ev_per_atom": 0.1030,
  "spacegroup": "No. 25",
  "e_form_raw_ev_per_atom": 0.175
}


# 2
{
  "formula": "AsW2Se",
  "functional": "PBE-GGA",
  "state": "relaxed",
  "lattice": [[-2.868, 2.868, 5.633], [2.868, -2.868, 5.633], [2.868, 2.868, -5.633]],
  "species": ["As", "As", "W", "W", "W", "W", "Se", "Se"],
  "fractional_positions": [[0.000, 0.000, 0.000], [0.750, 0.250, 0.500], [0.126, 0.625, 0.001], [0.375, 0.376, 0.501], [0.624, 0.125, 0.999], [0.875, 0.874, 0.499], [0.250, 0.750, 0.500], [0.500, 0.500, 0.000]],
  "de_polymorph_ev_per_atom": 0.9407,
  "spacegroup": "No. 122",
  "e_form_raw_ev_per_atom": 1.013
}


# 3
{
  "formula": "AsW2Se",
  "functional": "PBE-GGA",
  "state": "relaxed",
  "lattice": [[3.098, 0.000, 0.000], [0.000, 3.098, 0.000], [0.000, 0.000, 7.909]],
  "species": ["As", "W", "W", "Se"],
  "fractional_positions": [[0.000, 0.000, 0.000], [0.000, 0.000, 0.583], [0.500, 0.500, 0.822], [0.500, 0.500, 0.399]],
  "de_polymorph_ev_per_atom": 0.0837,
  "spacegroup": "No. 99",
  "e_form_raw_ev_per_atom": 0.156
}


# 4
{
  "formula": "AsW3Se8",
  "functional": "PBE-GGA",
  "state": "relaxed",
  "lattice": [[7.060, 0.000, 0.000], [-3.530, 6.114, 0.000], [0.000, 0.000, 14.365]],
  "species": ["As", "As", "W", "W", "W", "W", "W", "W", "Se", "Se", "Se", "Se", "Se", "Se", "Se", "Se", "Se", "Se", "Se", "Se", "Se", "Se", "Se", "Se"],
  "fractional_positions": [[0.333, 0.667, 0.000], [0.667, 0.333, 0.500], [0.134, 0.267, 0.803], [0.134, 0.866, 0.803], [0.267, 0.134, 0.303], [0.733, 0.866, 0.803], [0.866, 0.134, 0.303], [0.866, 0.733, 0.303], [0.000, 0.000, 0.436], [0.000, 0.000, 0.936], [0.002, 0.501, 0.407], [0.173, 0.345, 0.196], [0.173, 0.827, 0.196], [0.333, 0.667, 0.723], [0.345, 0.173, 0.696], [0.499, 0.501, 0.407], [0.499, 0.998, 0.407], [0.501, 0.002, 0.907], [0.501, 0.499, 0.907], [0.655, 0.827, 0.196], [0.667, 0.333, 0.223], [0.827, 0.173, 0.696], [0.827, 0.655, 0.696], [0.998, 0.499, 0.907]],
  "spacegroup": "No. 186",
  "e_form_raw_ev_per_atom": -0.303
}


# 5
{
  "formula": "AsW4Se",
  "functional": "PBE-GGA",
  "state": "relaxed",
  "lattice": [[0.000, 3.785, 3.785], [3.785, 0.000, 3.785], [3.785, 3.785, 0.000]],
  "species": ["As", "W", "W", "W", "W", "Se"],
  "fractional_positions": [[0.000, 0.000, 0.000], [0.376, 0.376, 0.376], [0.376, 0.376, 0.873], [0.376, 0.873, 0.376], [0.873, 0.376, 0.376], [0.750, 0.750, 0.750]],
  "spacegroup": "No. 216",
  "e_form_raw_ev_per_atom": 0.964
}


# 6
{
  "formula": "AsW2Se",
  "functional": "PBE-GGA",
  "state": "relaxed",
  "lattice": [[1.555, 0.898, 9.526], [-1.555, 0.898, 9.526], [0.000, -1.795, 9.526]],
  "species": ["As", "W", "W", "Se"],
  "fractional_positions": [[0.000, 0.000, 0.000], [0.267, 0.267, 0.267], [0.525, 0.525, 0.525], [0.796, 0.796, 0.796]],
  "de_polymorph_ev_per_atom": 0.0000,
  "spacegroup": "No. 160",
  "e_form_raw_ev_per_atom": 0.072
}


# 7
{
  "formula": "AsWSe3",
  "functional": "PBE-GGA",
  "state": "relaxed",
  "lattice": [[4.923, 0.000, 0.000], [0.000, 4.923, 0.000], [0.000, 0.000, 4.923]],
  "species": ["As", "W", "Se", "Se", "Se"],
  "fractional_positions": [[0.000, 0.000, 0.000], [0.500, 0.500, 0.500], [0.000, 0.500, 0.500], [0.500, 0.000, 0.500], [0.500, 0.500, 0.000]],
  "de_polymorph_ev_per_atom": 0.0000,
  "spacegroup": "No. 221",
  "e_form_raw_ev_per_atom": 0.574
}


# 8
{
  "formula": "AsWSe3",
  "functional": "PBE-GGA",
  "state": "relaxed",
  "lattice": [[4.944, 0.000, 0.000], [0.000, 4.944, 0.000], [0.000, 0.000, 4.944]],
  "species": ["As", "W", "Se", "Se", "Se"],
  "fractional_positions": [[0.000, 0.000, 0.000], [0.500, 0.500, 0.500], [0.000, 0.000, 0.500], [0.000, 0.500, 0.000], [0.500, 0.000, 0.000]],
  "de_polymorph_ev_per_atom": 0.7332,
  "spacegroup": "No. 221",
  "e_form_raw_ev_per_atom": 1.307
}


# 9
{
  "formula": "AsW2Se",
  "functional": "PBE-GGA",
  "state": "relaxed",
  "lattice": [[1.529, 0.883, 8.021], [-1.529, 0.883, 8.021], [0.000, -1.766, 8.021]],
  "species": ["As", "W", "W", "Se"],
  "fractional_positions": [[0.000, 0.000, 0.000], [0.251, 0.251, 0.251], [0.749, 0.749, 0.749], [0.500, 0.500, 0.500]],
  "de_polymorph_ev_per_atom": 0.3761,
  "spacegroup": "No. 166",
  "e_form_raw_ev_per_atom": 0.448
}


# 10
{
  "formula": "YAs2WSe",
  "functional": "PBE-GGA",
  "state": "relaxed",
  "lattice": [[5.343, 0.000, 0.000], [0.000, 5.343, 0.000], [0.000, 0.000, 5.283]],
  "species": ["Y", "As", "As", "W", "Se"],
  "fractional_positions": [[0.000, 0.000, 0.000], [0.000, 0.500, 0.000], [0.500, 0.000, 0.000], [0.500, 0.500, 0.500], [0.000, 0.000, 0.500]],
  "de_polymorph_ev_per_atom": 1.2565,
  "spacegroup": "No. 123",
  "e_form_raw_ev_per_atom": 1.236
}


# 11
{
  "formula": "YAsWSe2",
  "functional": "PBE-GGA",
  "state": "relaxed",
  "lattice": [[5.330, 0.000, 0.000], [0.000, 5.330, 0.000], [0.000, 0.000, 5.411]],
  "species": ["Y", "As", "W", "Se", "Se"],
  "fractional_positions": [[0.000, 0.000, 0.000], [0.000, 0.000, 0.500], [0.500, 0.500, 0.500], [0.000, 0.500, 0.000], [0.500, 0.000, 0.000]],
  "de_polymorph_ev_per_atom": 1.0861,
  "spacegroup": "No. 123",
  "e_form_raw_ev_per_atom": 0.982
}


# 12
{
  "formula": "YAs2WSe",
  "functional": "PBE-GGA",
  "state": "relaxed",
  "lattice": [[4.809, 0.000, 0.000], [0.000, 4.809, 0.000], [0.000, 0.000, 5.232]],
  "species": ["Y", "As", "As", "W", "Se"],
  "fractional_positions": [[0.000, 0.000, 0.000], [0.000, 0.500, 0.500], [0.500, 0.000, 0.500], [0.500, 0.500, 0.500], [0.500, 0.500, 0.000]],
  "de_polymorph_ev_per_atom": 0.0000,
  "spacegroup": "No. 123",
  "e_form_raw_ev_per_atom": -0.020
}


Number 1: total DFT energy (no corrections) -8.33 eV per atom, Fermi-level density of states 1.98 states/eV/cell, V 16.3 A^3/atom. Number 2: total DFT energy (no corrections) -7.50 eV per atom, Fermi-level density of states 7.97 states/eV/cell, V 23.2 A^3/atom. Number 3: total DFT energy (no corrections) -8.35 eV per atom, Fermi-level density of states 3.79 states/eV/cell, V 19.0 A^3/atom. Number 4: total DFT energy (no corrections) -6.25 eV per atom, Fermi-level density of states 16.74 states/eV/cell, V 25.8 A^3/atom. Number 5: total DFT energy (no corrections) -9.03 eV per atom, Fermi-level density of states 4.97 states/eV/cell, V 18.1 A^3/atom. Number 6: total DFT energy (no corrections) -8.44 eV per atom, Fermi-level density of states 2.53 states/eV/cell, V 19.9 A^3/atom. Number 7: total DFT energy (no corrections) -5.04 eV per atom, Fermi-level density of states 6.05 states/eV/cell, V 23.9 A^3/atom. Number 8: total DFT energy (no corrections) -4.30 eV per atom, Fermi-level density of states 4.73 states/eV/cell, V 24.2 A^3/atom. Number 9: total DFT energy (no corrections) -8.06 eV per atom, Fermi-level density of states 4.21 states/eV/cell, V 16.3 A^3/atom. Number 10: total DFT energy (no corrections) -5.20 eV per atom, Fermi-level density of states 5.19 states/eV/cell, V 30.2 A^3/atom. Number 11: total DFT energy (no corrections) -5.22 eV per atom, Fermi-level density of states 4.47 states/eV/cell, V 30.7 A^3/atom. Number 12: total DFT energy (no corrections) -6.46 eV per atom, Fermi-level density of states 4.08 states/eV/cell, V 24.2 A^3/atom.